No. 1
DFT (GGA-PBEsol) results for a relaxed structure of CaFeI2O.

Structure (extended XYZ):
```
5
Lattice="-2.660 -1.976 -2.372 3.747 0.439 -4.568 2.470 -5.163 1.531" Properties=species:S:1:pos:R:3 pbc="T T T"
O -1.330 -0.988 -1.186
Ca 0.000 0.000 0.000
I 1.874 0.219 -2.284
I 1.235 -2.581 0.765
Fe 1.779 -3.350 -2.705
```

Values from the calculation:
Formation energy from raw total energies ... -0.083 eV per atom
V ... 28.6 Å³/atom
Energy above the most stable polymorph in this dataset ... 770 meV per atom

=====

No. 2
DFT (GGA-PBEsol) results for a relaxed structure of Pr2Ni12P5.

Structure (extended XYZ):
```
38
Lattice="-0.345 -0.122 -3.614 4.896 -9.553 -0.145 -12.760 -2.063 1.288" Properties=species:S:1:pos:R:3 pbc="T T T"
P -8.967 -6.589 -1.659
P 3.621 -7.711 -0.998
P -7.148 -3.153 -1.949
P -3.332 -1.093 -2.383
P -4.877 -10.645 -0.087
P 0.757 -5.149 -0.811
P -2.606 -5.718 -2.296
P -11.830 -4.027 -1.473
P -5.604 -6.020 -0.174
P -1.061 -8.585 -0.521
Ni -4.701 -5.166 -2.115
Ni -0.709 -4.695 -2.512
Ni -1.391 -9.956 -2.269
Ni -1.060 -6.346 -0.597
Ni -7.500 -7.043 0.042
Ni -5.076 -2.508 -2.169
Ni -9.882 -7.632 0.289
Ni 2.834 -9.801 -0.852
Ni -6.818 -1.782 -0.201
Ni -7.149 -5.392 -1.873
Ni 0.431 -10.236 -0.608
Ni -8.641 -1.502 -1.863
Ni -3.508 -6.572 -0.356
Ni 0.327 -3.045 -0.841
Ni 1.673 -4.106 -2.759
Ni -11.044 -1.937 -1.618
Ni -6.985 -9.860 0.088
Ni -2.362 -7.818 -2.248
Ni -8.536 -8.693 -1.629
Ni -1.224 -1.878 -2.558
Ni -5.847 -3.920 -0.222
Ni 4.103 -8.999 -2.826
Ni -12.312 -2.739 0.356
Ni -3.133 -9.230 -0.302
Pr -5.448 -8.378 -1.935
Pr -9.240 -4.066 0.107
Pr 1.030 -7.672 -2.577
Pr -2.761 -3.360 -0.535
```

Values from the calculation:
VASP energy ... -6.698 eV/atom
V ... 12.7 Å³/atom

=====

No. 3
DFT (GGA-PBEsol) results for a relaxed structure of ZrCrAgS4.

Structure (extended XYZ):
```
14
Lattice="3.535 0.000 0.000 0.000 6.060 0.078 0.000 -0.056 12.274" Properties=species:S:1:pos:R:3 pbc="T T T"
S 0.884 3.488 7.518
S 0.884 3.506 1.576
S 2.651 2.498 10.775
S 0.884 5.527 5.035
S 2.651 0.477 7.317
S 2.651 0.514 1.562
S 0.884 5.491 10.790
S 2.651 2.517 4.834
Ag 0.884 1.400 9.051
Ag 2.651 4.604 3.301
Cr 0.884 1.590 6.059
Cr 2.651 4.414 6.292
Zr 0.884 1.497 0.038
Zr 2.651 4.507 12.314
```

Values from the calculation:
Formation energy from raw total energies ... -0.906 eV per atom
V ... 18.8 Å³/atom
Energy above the most stable polymorph in this dataset ... 28 meV per atom

=====

No. 4
DFT (GGA-PBEsol) results for a relaxed structure of Y2TlCd.

Structure (extended XYZ):
```
4
Lattice="-1.435 3.211 0.614 -4.230 -1.686 -1.070 -0.914 -1.573 6.094" Properties=species:S:1:pos:R:3 pbc="T T T"
Y -0.886 -1.526 5.911
Y -3.091 0.318 1.496
Tl -3.539 -0.453 4.480
Cd -0.434 -0.746 2.892
```

Values from the calculation:
VASP energy ... -4.591 eV/atom
V ... 26.6 Å³/atom

=====

No. 5
DFT (GGA-PBEsol) results for a relaxed structure of MgInTe3.

Structure (extended XYZ):
```
5
Lattice="-2.187 -4.661 1.780 4.947 -1.775 1.431 -0.645 2.191 4.945" Properties=species:S:1:pos:R:3 pbc="T T T"
In 1.058 -2.122 4.078
Mg 0.000 0.000 0.000
Te -1.093 -2.330 0.890
Te -0.322 1.096 2.473
Te 2.474 -0.887 0.716
```

Values from the calculation:
Formation energy from raw total energies ... 0.097 eV per atom
V ... 32.3 Å³/atom

=====

No. 6
DFT (GGA-PBEsol) results for a relaxed structure of Sc3Pb.

Structure (extended XYZ):
```
4
Lattice="-3.050 0.315 1.201 1.716 -1.846 4.842 1.736 5.569 -1.569" Properties=species:S:1:pos:R:3 pbc="T T T"
Sc -0.734 2.149 2.086
Sc -0.644 -0.790 3.087
Sc 1.697 1.286 3.972
Pb 1.703 -1.832 4.807
```

Values from the calculation:
VASP energy ... -6.203 eV/atom
V ... 23.1 Å³/atom

=====

No. 7
DFT (GGA-PBEsol) results for a relaxed structure of Sr3CaAg.

Structure (extended XYZ):
```
5
Lattice="-2.638 -5.366 1.217 5.205 -2.871 -1.378 1.784 0.443 5.818" Properties=species:S:1:pos:R:3 pbc="T T T"
Ag 0.000 0.000 0.000
Sr 2.602 -1.435 -0.689
Sr 0.892 0.221 2.909
Sr -1.319 -2.683 0.609
Ca 2.176 -3.897 2.829
```

Values from the calculation:
VASP energy ... -2.225 eV/atom
V ... 45.4 Å³/atom

=====

No. 8
DFT (GGA-PBEsol) results for a relaxed structure of Be3N2.

Structure (extended XYZ):
```
40
Lattice="-4.801 -5.130 0.156 6.427 -2.789 0.554 -1.110 4.411 5.358" Properties=species:S:1:pos:R:3 pbc="T T T"
Be 0.977 1.689 5.497
Be 0.696 -2.907 1.797
Be -0.179 -0.601 4.271
Be 3.021 -2.120 4.704
Be 2.174 -4.373 3.190
Be -0.836 3.144 4.125
Be -2.504 -1.388 1.364
Be -1.070 -2.888 3.088
Be 3.271 -2.105 1.872
Be -2.755 -1.402 4.197
Be -1.657 0.865 2.878
Be -1.844 1.331 5.530
Be -3.133 -5.709 0.439
Be -2.396 -3.568 1.509
Be 1.352 -6.651 1.943
Be -0.480 -4.978 3.066
Be 0.996 1.470 3.002
Be 2.912 0.060 4.559
Be -0.460 -5.197 0.571
Be 2.360 -4.839 0.539
Be 3.649 2.202 5.629
Be 1.586 -0.620 2.980
Be -0.062 -0.868 1.563
Be 0.578 -2.640 4.505
N -4.399 -0.707 4.151
N -2.662 -2.374 2.809
N 0.258 -1.754 3.034
N 4.915 -2.801 1.918
N 3.214 -1.394 0.277
N -1.751 0.031 4.352
N -0.699 -3.971 1.719
N 0.519 -1.945 0.303
N 2.268 -3.539 1.716
N 1.204 0.390 1.595
N -0.003 -1.563 5.765
N -0.688 -3.898 4.473
N -2.401 -2.565 0.078
N 1.216 0.463 4.350
N 3.178 -1.134 3.259
N -0.555 2.206 2.679
```

Values from the calculation:
Formation energy from raw total energies ... -1.182 eV per atom
V ... 6.7 Å³/atom
Energy above the most stable polymorph in this dataset ... 0 meV per atom

=====

No. 9
DFT (GGA-PBEsol) results for a relaxed structure of LiCuRh.

Structure (extended XYZ):
```
3
Lattice="-2.108 -0.178 1.247 0.689 -4.054 0.585 1.402 2.766 2.765" Properties=species:S:1:pos:R:3 pbc="T T T"
Cu -1.872 -0.158 1.108
Li -0.448 0.356 2.992
Rh 0.196 -1.843 1.744
```

Values from the calculation:
V ... 12.2 Å³/atom
Energy above the most stable polymorph in this dataset ... 0 meV per atom

=====

No. 10
DFT (GGA-PBEsol) results for a relaxed structure of HfGaTe2.

Structure (extended XYZ):
```
8
Lattice="6.963 0.000 0.000 -3.482 6.662 0.038 0.000 3.605 5.958" Properties=species:S:1:pos:R:3 pbc="T T T"
Te 5.223 3.999 3.866
Te -1.897 8.151 5.242
Te 1.741 2.036 0.621
Te 1.897 6.349 2.263
Hf 3.482 6.035 4.487
Hf 0.000 0.000 0.000
Ga 0.000 4.232 1.508
Ga 3.482 1.803 2.979
```

Values from the calculation:
Formation energy from raw total energies ... -0.006 eV per atom
V ... 34.4 Å³/atom

=====

No. 11
DFT (GGA-PBEsol) results for a relaxed structure of KAsOs2.

Structure (extended XYZ):
```
4
Lattice="-3.806 0.630 0.123 -0.563 -3.631 1.182 0.367 1.363 4.363" Properties=species:S:1:pos:R:3 pbc="T T T"
As -2.001 -0.819 2.834
K 0.183 0.682 2.182
Os -1.903 0.315 0.062
Os -0.281 -1.816 0.591
```

Values from the calculation:
VASP energy ... -6.156 eV/atom
V ... 17.1 Å³/atom

=====

Number 1: DOS at the Fermi energy 8.32 states/eV per cell. Number 2: DOS at the Fermi energy 24.31 states/eV per cell. Number 3: DOS at the Fermi energy 5.06 states/eV per cell. Number 4: DOS at the Fermi energy 3.37 states/eV per cell. Number 5: DOS at the Fermi energy 6.39 states/eV per cell. Number 6: DOS at the Fermi energy 4.63 states/eV per cell. Number 7: DOS at the Fermi energy 3.58 states/eV per cell. Number 8: DOS at the Fermi energy 0.00 states/eV per cell. Number 9: DOS at the Fermi energy 1.48 states/eV per cell. Number 10: DOS at the Fermi energy 7.70 states/eV per cell. Number 11: DOS at the Fermi energy 5.15 states/eV per cell.